1.
Below is Zr2FePdPt5 after structural relaxation, with properties calculated at the PBE level.

V = 336.08 Å³/cell
energy relative to the elements = -0.09 eV per atom
SG = I4/mcm (140)
E = -123.6 eV for the cell shown

The structure in POSCAR format:
```
Zr2FePdPt5
1.0
-3.984 3.984 5.293
3.984 -3.984 5.293
3.984 3.984 -5.293
Zr Fe Pd Pt
4 2 2 10
direct
0.120 0.620 0.741 Zr
0.380 0.120 0.500 Zr
0.620 0.880 0.500 Zr
0.880 0.380 0.259 Zr
0.250 0.250 0.000 Fe
0.750 0.750 0.000 Fe
0.250 0.750 0.500 Pd
0.750 0.250 0.500 Pd
0.000 0.000 0.000 Pt
0.065 0.165 0.500 Pt
0.165 0.665 0.100 Pt
0.335 0.435 0.500 Pt
0.435 0.935 0.100 Pt
0.500 0.500 0.000 Pt
0.565 0.065 0.900 Pt
0.665 0.565 0.500 Pt
0.835 0.335 0.900 Pt
0.935 0.835 0.500 Pt
```

2.
Below is La2ZnBi4 after structural relaxation, with properties calculated at the PBE level.

V = 218.40 Å³/cell
energy relative to the elements = -0.64 eV per atom
SG = P-4m2 (115)
E = -31.1 eV for the cell shown
ΔE to the lowest computed polymorph = 0 meV per atom

The structure in POSCAR format:
```
La2ZnBi4
1.0
4.651 0.000 0.000
0.000 4.651 0.000
0.000 0.000 10.098
La Zn Bi
2 1 4
direct
0.000 0.500 0.239 La
0.500 0.000 0.761 La
0.000 0.000 0.000 Zn
0.000 0.000 0.500 Bi
0.000 0.500 0.841 Bi
0.500 0.000 0.159 Bi
0.500 0.500 0.500 Bi
```

3.
Below is TlIrS2Cl after structural relaxation, with properties calculated at the PBE level.

V = 114.68 Å³/cell
SG = P4/mmm (123)
E = -21.3 eV for the cell shown
ΔE to the lowest computed polymorph = 0 meV per atom
energy relative to the elements, uncorrected = -0.002 eV/atom

The structure in POSCAR format:
```
TlIrS2Cl
1.0
4.629 0.000 0.000
0.000 4.629 0.000
0.000 0.000 5.353
Tl Ir S Cl
1 1 2 1
direct
0.000 0.000 0.000 Tl
0.500 0.500 0.500 Ir
0.000 0.500 0.500 S
0.500 0.000 0.500 S
0.500 0.500 0.000 Cl
```

4.
Below is CsSnPb3 after structural relaxation, with properties calculated at the PBE level.

V = 220.01 Å³/cell
energy relative to the elements = 0.22 eV per atom
SG = Pm-3m (221)
E = -14.9 eV for the cell shown
ΔE to the lowest computed polymorph = 0 meV per atom

The structure in POSCAR format:
```
CsSnPb3
1.0
6.037 0.000 0.000
0.000 6.037 0.000
0.000 0.000 6.037
Cs Sn Pb
1 1 3
direct
0.000 0.000 0.000 Cs
0.500 0.500 0.500 Sn
0.000 0.500 0.500 Pb
0.500 0.000 0.500 Pb
0.500 0.500 0.000 Pb
```